Na2ZnF3 | Alexandria | GGA-PBE | optimized geometry; E_tot = -22.5 eV per formula unit; SG = No. 12
1.0
-2.8690 -1.7395 -3.3534
-4.1053 -1.9994 4.5494
-0.0515 5.9944 0.2897
Na Zn F
4 2 6
Cartesian
-4.3169 -0.3438 0.5164
-2.2642 0.6560 -1.7582
-4.7615 1.5995 3.2439
-2.7088 2.5992 0.9693
-3.0796 -1.4999 3.4113
-3.8947 -2.2390 -2.2153
-2.4621 -1.3704 -0.5408
-4.5122 -2.3686 1.7368
-0.8770 1.6213 -0.0907
-4.0961 1.6339 -0.6983
-2.9297 0.6216 2.1840
-6.1488 0.6341 1.5764

CaTbY2S4 | Alexandria | GGA-PBE | optimized geometry; E_tot = -52.3 eV per formula unit; SG = No. 10
1.0
-0.1712 -1.4631 -3.6382
1.6054 -6.1876 2.4127
-6.7915 0.7256 0.0277
Ca Tb Y S
1 1 2 4
Cartesian
0.7171 -3.8253 -0.6127
0.0000 0.0000 0.0000
-3.4813 -0.3687 -1.8053
-2.5930 -2.7310 1.2202
-1.3865 -2.0994 -1.2078
-3.9708 -4.8256 0.0100
-4.6800 -0.9947 0.6202
-0.5060 -4.4673 1.8203

CrIrOs2 | Alexandria | GGA-PBE | optimized geometry; energy relative to the lowest polymorph listed for this composition = 33 meV/atom; SG = No. 25
1.0
2.7113 0.0000 0.0000
0.0000 3.7928 0.0000
0.0000 0.0000 5.4009
Cr Ir Os
1 1 2
Cartesian
0.0000 0.0000 2.6952
1.3556 1.8964 3.9987
0.0000 0.0000 0.0587
1.3556 1.8964 1.3489

TlNiPb2 | Alexandria | GGA-PBE | optimized geometry; energy relative to the lowest polymorph listed for this composition = 85 meV/atom; SG = No. 160
1.0
-7.5318 -1.2222 -4.8767
-7.4870 -4.2527 -2.8044
-8.8661 -1.1279 -1.4575
Ni Pb Tl
1 2 1
Cartesian
-17.9038 -4.9493 -6.8502
-0.4888 -0.1351 -0.1870
-5.9561 -1.6465 -2.2789
-11.4788 -3.1732 -4.3919

LiPbCl | Alexandria | GGA-PBE | optimized geometry; energy relative to the lowest polymorph listed for this composition = 787 meV/atom; SG = No. 216
1.0
-2.4170 -4.4292 0.9090
2.6075 -4.4131 -0.1110
0.8916 -2.5609 4.3512
Cl Li Pb
1 1 1
Cartesian
0.0000 0.0000 0.0000
0.5410 -5.7016 2.5746
0.8115 -8.5524 3.8619

La5Mg | Alexandria | GGA-PBE | optimized geometry; energy relative to the lowest polymorph listed for this composition = 18 meV/atom; SG = No. 8
1.0
6.5580 -0.0999 0.4766
5.4969 3.5779 0.4766
2.8468 0.8213 8.9721
La Mg
5 1
Cartesian
11.6674 3.3662 1.1965
4.8911 1.4111 3.6736
10.0104 2.8881 7.1133
8.2759 2.3877 2.5624
13.3251 3.8444 6.1725
6.1068 1.7619 8.3567

BaSrSmSbO6 | Alexandria | GGA-PBE | optimized geometry; E_tot = -68.1 eV per formula unit; SG = No. 216
1.0
0.0000 4.2817 4.2817
4.2817 0.0000 4.2817
4.2817 4.2817 0.0000
Ba Sr Sm Sb O
1 1 1 1 6
Cartesian
6.4225 6.4225 6.4225
2.1408 2.1408 2.1408
4.2817 4.2817 4.2817
0.0000 0.0000 0.0000
4.2817 2.0060 4.2817
4.2817 6.5574 4.2817
6.5574 4.2817 4.2817
2.0060 4.2817 4.2817
4.2817 4.2817 2.0060
4.2817 4.2817 6.5574

FeMoRh2 | Alexandria | GGA-PBE | optimized geometry; energy relative to the lowest polymorph listed for this composition = 117 meV/atom; SG = No. 166
1.0
-6.3134 -5.0664 3.5532
-4.2773 -6.9062 3.4874
-4.4861 -5.1650 5.5992
Fe Mo Rh
1 1 2
Cartesian
-3.7692 -4.2844 3.1599
-11.3076 -12.8532 9.4798
-15.0511 -17.1082 12.6181
-7.5642 -8.5981 6.3415

NaNb2Cd | Alexandria | GGA-PBE | optimized geometry; E_tot = -18.4 eV per formula unit; SG = No. 122
1.0
8.0264 0.0000 0.0000
0.0000 8.0264 0.0000
4.0132 4.0132 2.6249
Na Nb Cd
2 4 2
Cartesian
4.0132 4.0132 0.0000
4.0132 8.0264 1.3125
6.0813 2.0066 0.6562
1.9450 6.0198 0.6562
6.0198 5.9582 1.9687
10.0329 10.0945 1.9687
0.0000 0.0000 0.0000
8.0264 4.0132 1.3125

SmDyYMg | Alexandria | GGA-PBE | optimized geometry; energy relative to the lowest polymorph listed for this composition = 0 meV/atom; SG = No. 99
1.0
3.6391 0.0000 0.0000
0.0000 3.6391 0.0000
0.0000 0.0000 9.1248
Sm Dy Y Mg
1 1 1 1
Cartesian
0.0000 0.0000 0.6662
1.8196 1.8196 3.1223
1.8196 1.8196 7.2904
0.0000 0.0000 5.2061

DyPt3Au | Alexandria | GGA-PBE | optimized geometry; energy relative to the lowest polymorph listed for this composition = 3 meV/atom; SG = No. 74
1.0
-5.6879 3.4233 0.2050
-2.5164 -3.5613 -5.0097
2.9866 -3.9538 4.4227
Dy Pt Au
2 6 2
Cartesian
-5.1973 -2.2107 -0.1545
-0.0203 -1.8811 -0.2275
-2.6964 -0.6456 -0.0816
-1.1706 -3.1809 -2.6142
-2.5212 -3.4462 -0.3004
1.6408 -4.3342 2.0272
-5.8105 -1.9785 -3.6185
0.5929 -2.1133 3.2365
-4.1021 -0.0690 -2.4024
-1.3506 -0.2652 2.3138

Ac5TlCd4 | Alexandria | GGA-PBE | optimized geometry; E_tot = -29.6 eV per formula unit; SG = No. 123
1.0
4.0803 0.0000 0.0000
0.0000 4.0803 0.0000
0.0000 0.0000 20.5200
Ac Tl Cd
5 1 4
Cartesian
2.0402 2.0402 2.1206
2.0402 2.0402 6.1870
2.0402 2.0402 10.2600
2.0402 2.0402 14.3331
2.0402 2.0402 18.3995
0.0000 0.0000 0.0000
0.0000 0.0000 4.1674
0.0000 0.0000 8.2149
0.0000 0.0000 12.3051
0.0000 0.0000 16.3526